1.
The following is a DFT calculation (PBE-GGA) of a relaxed structure of ErTmIn2Ni4.

a = 3.9996 Å, b = 5.0587 Å, c = 6.9715 Å
α = 90.00°, β = 90.00°, γ = 90.00°
Atoms (fractional coordinates):
Er: 0.0000 0.0000 0.0000
Tm: 0.0000 0.5000 0.5326
In: 0.5000 0.0000 0.6224
In: 0.5000 0.5000 0.9106
Ni: 0.0000 0.0000 0.3780
Ni: 0.0000 0.5000 0.1562
Ni: 0.5000 0.2505 0.2673
Ni: 0.5000 0.7495 0.2673

Summary:
Relative energy among the computed polymorphs, meV per atom: 0
Space group: Pmm2 (25)

2.
The following is a DFT calculation (PBE-GGA) of a relaxed structure of Li4Zr2O.

a = 3.0597 Å, b = 3.0597 Å, c = 14.9174 Å
α = 90.10°, β = 90.10°, γ = 60.02°
Atoms (fractional coordinates):
Li: 0.0000 0.0000 0.0000
Li: 0.9998 0.9998 0.2407
Li: 0.6662 0.6662 0.1204
Li: 0.6657 0.6657 0.6277
Zr: 0.3331 0.3331 0.8136
Zr: 0.6671 0.6671 0.4262
O: 0.9997 0.9997 0.1203

Summary:
Electronic total energy, eV/cell: -32.9
Space group: Cm (8)

3.
The following is a DFT calculation (PBE-GGA) of a relaxed structure of NaIn2AgSe4.

a = 7.4733 Å, b = 7.4733 Å, c = 7.4733 Å
α = 129.75°, β = 129.75°, γ = 73.81°
Atoms (fractional coordinates):
Na: 0.0000 0.0000 0.0000
In: 0.5000 0.5000 0.0000
In: 0.7500 0.2500 0.5000
Ag: 0.2500 0.7500 0.5000
Se: 0.1298 0.6031 0.9922
Se: 0.3969 0.3891 0.5266
Se: 0.6109 0.1375 0.0078
Se: 0.8625 0.8702 0.4734

Summary:
Electronic total energy, eV/cell: -28.5
Space group: I-4 (82)

4.
The following is a DFT calculation (PBE-GGA) of a relaxed structure of HfZrNiB.

a = 4.3998 Å, b = 4.3998 Å, c = 4.3998 Å
α = 60.00°, β = 60.00°, γ = 60.00°
Atoms (fractional coordinates):
Hf: 0.0000 0.0000 0.0000
Zr: 0.5000 0.5000 0.5000
Ni: 0.7500 0.7500 0.7500
B: 0.2500 0.2500 0.2500

Summary:
Relative energy among the computed polymorphs, meV per atom: 0
Space group: F-43m (216)

5.
The following is a DFT calculation (PBE-GGA) of a relaxed structure of Tb2TmAl3PtAu2.

a = 3.9403 Å, b = 7.3705 Å, c = 7.3705 Å
α = 119.91°, β = 90.00°, γ = 90.00°
Atoms (fractional coordinates):
Tb: 0.0000 0.2052 0.7948
Tb: 0.0000 0.7948 0.2052
Tm: 0.0000 0.3869 0.3869
Al: 0.5000 0.0328 0.0328
Al: 0.5000 0.5559 0.7931
Al: 0.5000 0.7931 0.5559
Pt: 0.0000 0.7908 0.7908
Au: 0.5000 0.1320 0.4593
Au: 0.5000 0.4593 0.1320

Summary:
Electronic total energy, eV/cell: -45.9
Space group: Amm2 (38)

6.
The following is a DFT calculation (PBE-GGA) of a relaxed structure of NdGaAsO.

a = 4.2908 Å, b = 4.2908 Å, c = 9.8297 Å
α = 90.00°, β = 90.00°, γ = 90.00°
Atoms (fractional coordinates):
Nd: 0.2500 0.7500 0.0000
Nd: 0.7500 0.2500 0.0000
Ga: 0.2500 0.2500 0.4494
Ga: 0.7500 0.7500 0.5506
As: 0.2500 0.2500 0.2008
As: 0.7500 0.7500 0.7992
O: 0.2500 0.7500 0.5000
O: 0.7500 0.2500 0.5000

Summary:
Relative energy among the computed polymorphs, meV per atom: 1023
Space group: P4/nmm (129)

7.
The following is a DFT calculation (PBE-GGA) of a relaxed structure of BeCd2Pd.

a = 4.5026 Å, b = 4.5026 Å, c = 4.5026 Å
α = 60.00°, β = 60.00°, γ = 60.00°
Atoms (fractional coordinates):
Be: 0.0000 0.0000 0.0000
Cd: 0.5000 0.5000 0.5000
Cd: 0.7500 0.7500 0.7500
Pd: 0.2500 0.2500 0.2500

Summary:
Electronic total energy, eV/cell: -10.6
Space group: F-43m (216)

8.
The following is a DFT calculation (PBE-GGA) of a relaxed structure of ZnFePd.

a = 4.1364 Å, b = 4.1364 Å, c = 4.1364 Å
α = 60.00°, β = 60.00°, γ = 60.00°
Atoms (fractional coordinates):
Zn: 0.0000 0.0000 0.0000
Fe: 0.5000 0.5000 0.5000
Pd: 0.7500 0.7500 0.7500

Summary:
Formation energy from the elements, eV per atom: 0.187
Relative energy among the computed polymorphs, meV per atom: 0
Space group: F-43m (216)

9.
The following is a DFT calculation (PBE-GGA) of a relaxed structure of TaNbCoPb.

a = 4.6394 Å, b = 4.6394 Å, c = 4.6394 Å
α = 60.00°, β = 60.00°, γ = 60.00°
Atoms (fractional coordinates):
Ta: 0.0000 0.0000 0.0000
Nb: 0.2500 0.2500 0.2500
Co: 0.7500 0.7500 0.7500
Pb: 0.5000 0.5000 0.5000

Summary:
Relative energy among the computed polymorphs, meV per atom: 0
Space group: F-43m (216)

10.
The following is a DFT calculation (PBE-GGA) of a relaxed structure of PrGdB2Ir2N2.

a = 3.7935 Å, b = 3.7935 Å, c = 7.5560 Å
α = 90.00°, β = 90.00°, γ = 90.00°
Atoms (fractional coordinates):
Pr: 0.0000 0.0000 0.0000
Gd: 0.5000 0.5000 0.6689
B: 0.0000 0.0000 0.4847
B: 0.5000 0.5000 0.1811
Ir: 0.0000 0.5000 0.3360
Ir: 0.5000 0.0000 0.3360
N: 0.0000 0.0000 0.6817
N: 0.5000 0.5000 0.9818

Summary:
Electronic total energy, eV/cell: -66.0
Space group: P4mm (99)

11.
The following is a DFT calculation (PBE-GGA) of a relaxed structure of TbHoCN2O2.

a = 3.7051 Å, b = 3.7051 Å, c = 8.1364 Å
α = 90.00°, β = 90.00°, γ = 120.00°
Atoms (fractional coordinates):
Tb: 0.0000 0.0000 0.0000
Ho: 0.6667 0.3333 0.6455
C: 0.3333 0.6667 0.3232
N: 0.3333 0.6667 0.1716
N: 0.3333 0.6667 0.4748
O: 0.0000 0.0000 0.7173
O: 0.6667 0.3333 0.9233

Summary:
Electronic total energy, eV/cell: -60.3
Space group: P3m1 (156)

12.
The following is a DFT calculation (PBE-GGA) of a relaxed structure of HoSiAg.

a = 4.7042 Å, b = 4.7042 Å, c = 4.7042 Å
α = 60.00°, β = 60.00°, γ = 60.00°
Atoms (fractional coordinates):
Ho: 0.0000 0.0000 0.0000
Si: 0.2500 0.2500 0.2500
Ag: 0.7500 0.7500 0.7500

Summary:
Electronic total energy, eV/cell: -12.5
Space group: F-43m (216)

13.
The following is a DFT calculation (PBE-GGA) of a relaxed structure of ZrSc3Sn2N2.

a = 3.2955 Å, b = 3.2955 Å, c = 14.5480 Å
α = 90.00°, β = 90.00°, γ = 120.00°
Atoms (fractional coordinates):
Zr: 0.0000 0.0000 0.0000
Sc: 0.0000 0.0000 0.6669
Sc: 0.6667 0.3333 0.1675
Sc: 0.6667 0.3333 0.5038
Sn: 0.0000 0.0000 0.3358
Sn: 0.6667 0.3333 0.8331
N: 0.3333 0.6667 0.0897
N: 0.3333 0.6667 0.5847

Summary:
Electronic total energy, eV/cell: -62.2
Space group: P3m1 (156)

14.
The following is a DFT calculation (PBE-GGA) of a relaxed structure of Nd2TmGe3PdPt2.

a = 3.9807 Å, b = 7.3088 Å, c = 7.3088 Å
α = 119.59°, β = 90.00°, γ = 90.00°
Atoms (fractional coordinates):
Nd: 0.0000 0.2044 0.7956
Nd: 0.0000 0.7956 0.2044
Tm: 0.0000 0.3889 0.3889
Ge: 0.5000 0.0476 0.0476
Ge: 0.5000 0.5420 0.7898
Ge: 0.5000 0.7898 0.5420
Pd: 0.0000 0.7846 0.7846
Pt: 0.5000 0.1403 0.4576
Pt: 0.5000 0.4576 0.1403

Summary:
Electronic total energy, eV/cell: -53.9
Space group: Amm2 (38)

15.
The following is a DFT calculation (PBE-GGA) of a relaxed structure of NaPrZn.

a = 4.9946 Å, b = 4.9946 Å, c = 4.9946 Å
α = 60.00°, β = 60.00°, γ = 60.00°
Atoms (fractional coordinates):
Na: 0.0000 0.0000 0.0000
Pr: 0.5000 0.5000 0.5000
Zn: 0.2500 0.2500 0.2500

Summary:
Relative energy among the computed polymorphs, meV per atom: 0
Space group: F-43m (216)

16.
The following is a DFT calculation (PBE-GGA) of a relaxed structure of MgGa2Cu.

a = 4.5433 Å, b = 4.5433 Å, c = 4.5433 Å
α = 60.00°, β = 60.00°, γ = 60.00°
Atoms (fractional coordinates):
Mg: 0.0000 0.0000 0.0000
Ga: 0.5000 0.5000 0.5000
Ga: 0.7500 0.7500 0.7500
Cu: 0.2500 0.2500 0.2500

Summary:
Electronic total energy, eV/cell: -11.3
Space group: F-43m (216)

17.
The following is a DFT calculation (PBE-GGA) of a relaxed structure of LaNdSm2Se3O4.

a = 8.4131 Å, b = 6.7348 Å, c = 6.7348 Å
α = 34.52°, β = 90.00°, γ = 90.00°
Atoms (fractional coordinates):
La: 0.0000 0.0000 0.0000
Nd: 0.5000 0.9841 0.9841
Sm: 0.2640 0.6670 0.6670
Sm: 0.7360 0.6670 0.6670
Se: 0.1511 0.3360 0.3360
Se: 0.5000 0.2958 0.2958
Se: 0.8489 0.3360 0.3360
O: 0.0000 0.6030 0.6030
O: 0.2578 0.0734 0.0734
O: 0.5000 0.5732 0.5732
O: 0.7422 0.0734 0.0734

Summary:
Relative energy among the computed polymorphs, meV per atom: 4
Space group: Amm2 (38)

18.
The following is a DFT calculation (PBE-GGA) of a relaxed structure of RbSrHoTe3.

a = 10.4406 Å, b = 10.4406 Å, c = 12.9151 Å
α = 118.33°, β = 118.33°, γ = 25.02°
Atoms (fractional coordinates):
Rb: 0.0432 0.0432 0.2448
Rb: 0.9568 0.9568 0.7552
Sr: 0.3830 0.3830 0.3200
Sr: 0.6170 0.6170 0.6800
Ho: 0.3328 0.3328 0.9311
Ho: 0.6672 0.6672 0.0689
Te: 0.0000 0.0000 0.5000
Te: 0.1596 0.1596 0.8905
Te: 0.2121 0.2121 0.2488
Te: 0.5000 0.5000 0.0000
Te: 0.7879 0.7879 0.7512
Te: 0.8404 0.8404 0.1095

Summary:
Electronic total energy, eV/cell: -49.6
Space group: C2/m (12)

19.
The following is a DFT calculation (PBE-GGA) of a relaxed structure of NdBiPt.

a = 8.5789 Å, b = 8.5789 Å, c = 3.5993 Å
α = 90.00°, β = 90.00°, γ = 120.00°
Atoms (fractional coordinates):
Nd: 0.0000 0.2979 0.0000
Nd: 0.2979 0.0000 0.0000
Nd: 0.7021 0.7021 0.0000
Bi: 0.0000 0.0000 0.5000
Bi: 0.3333 0.6667 0.0000
Bi: 0.6667 0.3333 0.0000
Pt: 0.0000 0.6554 0.5000
Pt: 0.3446 0.3446 0.5000
Pt: 0.6554 0.0000 0.5000

Summary:
Electronic total energy, eV/cell: -48.2
Space group: P-62m (189)

20.
The following is a DFT calculation (PBE-GGA) of a relaxed structure of DyLu2Al7Ag2.

a = 9.2938 Å, b = 9.2938 Å, c = 9.2938 Å
α = 34.43°, β = 34.43°, γ = 34.43°
Atoms (fractional coordinates):
Dy: 0.0000 0.0000 0.0000
Lu: 0.1426 0.1426 0.1426
Lu: 0.8574 0.8574 0.8574
Al: 0.0766 0.5884 0.5884
Al: 0.4116 0.4116 0.9234
Al: 0.4116 0.9234 0.4116
Al: 0.5000 0.5000 0.5000
Al: 0.5884 0.0766 0.5884
Al: 0.5884 0.5884 0.0766
Al: 0.9234 0.4116 0.4116
Ag: 0.3355 0.3355 0.3355
Ag: 0.6645 0.6645 0.6645

Summary:
Electronic total energy, eV/cell: -50.7
Space group: R-3m (166)